Entry 1:
The following is a DFT calculation (GGA-PBE) of AlInGe3 after structural relaxation.

## Properties
Relative energy among the computed polymorphs in eV per atom: 0.0000
Calculated formation energy in meV per atom: 493

abc: 4.9380 4.9380 4.9380
angles: 90.00 90.00 90.00
Positions (direct):
Ge 0.0000 0.5000 0.0000
In 0.5000 0.5000 0.5000
Al 0.0000 0.0000 0.0000
Ge 0.0000 0.0000 0.5000
Ge 0.5000 0.0000 0.0000

---

Entry 2:
The following is a DFT calculation (GGA-PBE) of Cr2ReCl after structural relaxation.

## Properties
Relative energy among the computed polymorphs in eV per atom: 0.7507
ΔE_f (raw) in eV per atom: 0.9175

abc: 6.2270 6.2270 5.8985
angles: 58.14 58.14 90.00
Last column: magnetic moment on the atom in μB.
Positions (direct):
Cr 0.6291 0.1250 0.2500  2.86
Cr 0.8750 0.8791 0.7500  2.90
Re 0.0000 0.0000 0.0000  -1.18
Cl 0.2500 0.7500 0.5000  0.00
Cr 0.3750 0.3709 0.7500  2.89
Re 0.7500 0.2500 0.5000  -1.18
Cr 0.1209 0.6250 0.2500  2.88
Cl 0.5000 0.5000 0.0000  0.00

---

Entry 3:
The following is a DFT calculation (GGA-PBE) of SmEr5In3 after structural relaxation.

## Properties
Calculated formation energy in meV per atom: -349

abc: 6.6957 9.3070 9.3063
angles: 120.00 90.00 90.00
Positions (direct):
Er 0.7500 0.6685 0.6684
Sm 0.5000 0.0000 0.0000
Er 0.0000 0.3333 0.6667
Er 0.0000 0.6667 0.3333
In 0.2500 0.3383 0.0000
In 0.7500 0.3382 0.3383
In 0.7500 0.9999 0.6617
Er 0.2500 0.0000 0.6684
Er 0.2500 0.3315 0.3316
In 0.2500 0.0001 0.3383
Er 0.5000 0.3333 0.6667
In 0.7500 0.6617 0.0000
Er 0.5000 0.6667 0.3333
Er 0.7500 0.0000 0.3316
Er 0.7500 0.3315 0.0000
In 0.2500 0.6618 0.6617
Sm 0.0000 0.0000 0.0000
Er 0.2500 0.6685 0.0000

---

Entry 4:
The following is a DFT calculation (GGA-PBE) of Dy2Er2Sb3 after structural relaxation.

## Properties
Relative energy among the computed polymorphs in eV per atom: 0.0000
ΔE_f (raw) in eV per atom: -0.9694

abc: 7.9248 7.9248 7.9248
angles: 109.47 109.47 109.47
Positions (direct):
Er 0.1444 0.6444 0.6444
Er 0.3556 0.5000 0.0000
Sb 0.2500 0.8734 0.1234
Sb 0.6234 0.7500 0.8734
Dy 0.8533 0.5000 0.0000
Er 0.0000 0.0000 0.8556
Sb 0.7500 0.6266 0.3766
Sb 0.3734 0.1234 0.7500
Dy 0.5000 0.3533 0.5000
Dy 0.6467 0.1467 0.1467
Sb 0.8766 0.2500 0.6266
Dy 0.0000 0.0000 0.3533
Er 0.5000 0.8556 0.5000
Sb 0.1266 0.3766 0.2500

---

Entry 5:
The following is a DFT calculation (GGA-PBE) of LiThNi2 after structural relaxation.

## Properties
Calculated formation energy in meV per atom: -129

abc: 3.5157 4.4224 4.4224
angles: 90.00 90.00 90.00
Positions (direct):
Li 0.5000 0.0000 0.0000
Ni 0.0000 0.5000 0.0000
Ni 0.0000 0.0000 0.5000
Th 0.5000 0.5000 0.5000

---

Entry 6:
The following is a DFT calculation (GGA-PBE) of InSb2Pb after structural relaxation.

## Properties
Relative energy among the computed polymorphs in eV per atom: 0.0662
ΔE_f (raw) in eV per atom: 0.1157

abc: 5.4271 5.4271 5.4271
angles: 60.00 60.00 60.00
Positions (direct):
Pb 0.7500 0.7500 0.7500
Sb 0.0000 0.0000 0.0000
Sb 0.2500 0.2500 0.2500
In 0.5000 0.5000 0.5000

---

Entry 7:
The following is a DFT calculation (GGA-PBE) of Dy4Tm2Al after structural relaxation.

## Properties
Calculated formation energy in meV per atom: 414

abc: 4.6446 4.6446 12.8004
angles: 79.55 79.55 60.00
Positions (direct):
Dy 0.6997 0.6997 0.9010
Dy 0.0864 0.0864 0.7409
Tm 0.1931 0.1931 0.4208
Tm 0.8069 0.8069 0.5792
Dy 0.3003 0.3003 0.0990
Al 0.0000 0.0000 0.0000
Dy 0.9136 0.9136 0.2591

---

Entry 8:
The following is a DFT calculation (GGA-PBE) of YMgGaS4 after structural relaxation.

## Properties
ΔE_f (raw) in eV per atom: -1.3336

abc: 7.5939 7.5854 7.5854
angles: 60.07 59.96 59.96
Positions (direct):
Y 0.0000 0.0000 0.0000
S 0.2535 0.2364 0.2566
S 0.7465 0.2434 0.2636
Y 0.0000 0.5000 0.5000
S 0.7465 0.7636 0.7434
S 0.2535 0.7566 0.7364
Mg 0.0000 0.0000 0.5000
Mg 0.5000 0.0000 0.5000
S 0.7489 0.2464 0.7464
S 0.7416 0.7536 0.2536
Ga 0.6305 0.6195 0.1195
S 0.2511 0.7536 0.2536
S 0.2584 0.2464 0.7464
Ga 0.3695 0.3805 0.8805

---

Entry 9:
The following is a DFT calculation (GGA-PBE) of TmScCuTc after structural relaxation.

## Properties
Calculated formation energy in meV per atom: -196

abc: 4.6941 4.6941 4.6941
angles: 60.00 60.00 60.00
Positions (direct):
Tc 0.7500 0.7500 0.7500
Cu 0.2500 0.2500 0.2500
Sc 0.5000 0.5000 0.5000
Tm 0.0000 0.0000 0.0000

---

Entry 10:
The following is a DFT calculation (GGA-PBE) of VCrB after structural relaxation.

## Properties
Relative energy among the computed polymorphs in eV per atom: 0.7080
Calculated formation energy in meV per atom: 172

abc: 2.4557 3.8237 3.8237
angles: 120.00 90.00 90.00
Positions (direct):
V 0.3588 0.6667 0.3333
B 0.9650 0.0000 0.0000
Cr 0.6761 0.3333 0.6667

---

Entry 11:
The following is a DFT calculation (GGA-PBE) of Sm6Te2PSe3 after structural relaxation.

## Properties
ΔE_f (raw) in eV per atom: -1.6622

abc: 4.2110 8.6033 9.5343
angles: 102.22 102.76 90.00
Positions (direct):
Sm 0.3458 0.9349 0.6916
Sm 0.6542 0.0651 0.3084
Sm 0.6560 0.6058 0.3120
Sm 0.0048 0.7737 0.0097
Sm 0.9952 0.2263 0.9903
Se 0.5000 0.5000 0.0000
Te 0.8310 0.6586 0.6620
Sm 0.3440 0.3942 0.6880
Se 0.8285 0.1576 0.6570
Te 0.1690 0.3414 0.3380
Se 0.1715 0.8424 0.3430
P 0.5000 0.0000 0.0000

---

Entry 12:
The following is a DFT calculation (GGA-PBE) of HfSbIr2W after structural relaxation.

## Properties
ΔE_f (raw) in eV per atom: 1.9059

abc: 4.7429 5.0917 4.7429
angles: 90.00 90.00 90.00
Last column: magnetic moment on the atom in μB.
Positions (direct):
Sb 0.0000 0.0000 0.0000  -0.01
W 0.5000 0.5000 0.5000  1.25
Ir 0.0000 0.0000 0.5000  -0.15
Ir 0.5000 0.0000 0.0000  -0.16
Hf 0.0000 0.5000 0.0000  -0.14

---

| no. | size of the total moment (Bohr magnetons per cell) |
| --- | --- |
| 1 | 0.00 |
| 2 | 10.10 |
| 3 | 0.02 |
| 4 | 0.00 |
| 5 | 0.00 |
| 6 | 0.00 |
| 7 | 0.00 |
| 8 | 0.00 |
| 9 | 0.00 |
| 10 | 0.00 |
| 11 | 0.00 |
| 12 | 1.05 |